(1)
Computed, not measured: a relaxed structure of Cu2TeSe2 at the PBE-GGA level of DFT.

Cell lengths 5.6242, 6.0312, 7.5588 Å; angles 75.43, 86.11, 64.68 degrees
Closest atoms and distances in Å follow each position.
Space group P-1 (No. 2)
Inequivalent atoms, fractional coordinates:
Cu: 0.2246 0.4887 0.2139 (multiplicity 2)  2 Se 2.35
Cu: 0.2625 0.9523 0.1783 (multiplicity 2)  3 Se 2.41-2.56, 1 Te 2.56
Te: 0.3046 0.4365 0.7045 (multiplicity 2)  2 Cu 2.56-2.86, 1 Se 2.78
Se: 0.1870 0.7692 0.9272 (multiplicity 2)  3 Cu 2.35-2.56
Se: 0.2676 0.1251 0.4407 (multiplicity 2)  2 Cu 2.35-2.47, 1 Se 2.49

Summary:
Total energy: -3.64 eV/atom
Energy above the most stable polymorph in this dataset: 0 meV/atom

***

(2)
Computed, not measured: a relaxed structure of CuTe2Se at the PBE-GGA level of DFT.

Cell lengths 3.8358, 5.5509, 8.9864 Å; angles 90.00, 90.00, 90.00 degrees
Closest atoms and distances in Å follow each position.
Space group Cmm2 (No. 35)
Inequivalent atoms, fractional coordinates:
Cu: 0.0000 0.0000 0.0000 (multiplicity 2)  2 Se 2.40, 2 Te 2.64
Te: 0.0000 0.0000 0.5105 (multiplicity 2)  6 Te 3.37, 2 Se 3.52
Te: 0.0000 0.5000 0.2025 (multiplicity 2)  2 Cu 2.64
Se: 0.0000 0.5000 0.8395 (multiplicity 2)  2 Cu 2.40

Summary:
Total energy: -3.24 eV/atom

***

(3)
Computed, not measured: a relaxed structure of CuTe2Se at the PBE-GGA level of DFT.

Cell lengths 6.0568, 8.0355, 8.0549 Å; angles 90.00, 90.00, 90.00 degrees
Closest atoms and distances in Å follow each position.
Space group Fmmm (No. 69)
Inequivalent atoms, fractional coordinates:
Cu: 0.0000 0.0000 0.0000 (multiplicity 4)  4 Te 2.84, 2 Se 3.03
Te: 0.0000 0.2500 0.2500 (multiplicity 8)  2 Se 2.84, 2 Cu 2.84, 2 Te 3.03
Se: 0.0000 0.0000 0.5000 (multiplicity 4)  4 Te 2.84, 2 Cu 3.03

Summary:
Total energy: -3.39 eV/atom

***

no.,raw formation energy (meV/atom)
1,20.6
2,229.0
3,75.2